10
Lattice="-1.080 6.526 4.826 -7.082 1.020 3.982 -0.295 -0.924 8.131" Properties=species:S:1:pos:R:3 comment="Rb2NaNdBr6 PBE relaxed" e_tot_ev_per_cell=-35.744 n_ef_per_ev_fu=0.00 vol_a3_per_cell=388 raw_formation_energy_mev_per_atom=-1768.5 pbc="T T T"
Na -4.229 3.311 8.469
Nd 0.000 0.000 0.000
Br -5.663 2.159 6.213
Br -5.812 1.695 10.301
Br -2.794 4.463 10.725
Br -2.646 4.928 6.637
Br -2.251 1.182 8.299
Br -6.207 5.441 8.639
Rb -6.343 4.967 12.703
Rb -2.114 1.656 4.234

---

5
Lattice="4.966 0.000 0.000 0.000 4.966 0.000 0.000 0.000 4.966" Properties=species:S:1:pos:R:3 comment="Zr3PBr PBE relaxed" e_tot_ev_per_cell=-32.786 relative_energy_kcal_per_mol_atoms=0.000 n_ef_per_ev_fu=7.75 vol_a3_per_cell=122 raw_formation_energy_mev_per_atom=-11.8 pbc="T T T"
P 0.000 0.000 0.000
Br 2.483 2.483 2.483
Zr 0.000 2.483 0.000
Zr 0.000 0.000 2.483
Zr 2.483 0.000 0.000

---

5
Lattice="-4.071 -0.811 1.792 1.847 -0.157 4.124 -0.682 4.475 0.476" Properties=species:S:1:pos:R:3 comment="Hf2ScTlC PBE relaxed" e_tot_ev_per_cell=-40.089 n_ef_per_ev_fu=2.77 vol_a3_per_cell=93 pbc="T T T"
Sc -0.341 2.237 0.238
Tl -1.453 1.753 3.196
Hf 0.924 -0.079 2.062
Hf -2.035 -0.406 0.896
C 0.000 0.000 0.000

---

4
Lattice="-4.262 -3.099 -0.148 0.011 -4.357 -2.968 0.113 -4.748 2.289" Properties=species:S:1:pos:R:3 comment="SmErZnPb PBE relaxed" e_tot_ev_per_cell=-15.732 n_ef_per_ev_fu=2.92 vol_a3_per_cell=104 pbc="T T T"
Pb -2.069 -6.102 -0.413
Zn 0.000 0.000 0.000
Sm -3.104 -9.153 -0.620
Er -1.035 -3.051 -0.207